Record 1
Computed, not measured: a relaxed structure of GdYBi at the GGA-PBE level of DFT.

Structure (CIF):
```
data_GdYBi
_chemical_formula_sum 'Gd2 Y2 Bi2'
_symmetry_space_group_name_H-M 'I 4 m m'
_symmetry_Int_Tables_number 107
_symmetry_space_group_name_Hall 'I 4 -2'
_cell_length_a 4.0839
_cell_length_b 4.0839
_cell_length_c 10.7920
_cell_angle_alpha 90.00
_cell_angle_beta 90.00
_cell_angle_gamma 90.00
loop_
_atom_site_label
_atom_site_type_symbol
_atom_site_fract_x
_atom_site_fract_y
_atom_site_fract_z
_atom_site_occupancy
Gd1 Gd 0.0000 0.0000 0.0000 1
Y1 Y 0.0000 0.0000 0.6866 1
Bi1 Bi 0.0000 0.0000 0.3400 1
```

=====

Record 2
Computed, not measured: a relaxed structure of Gd2YBi at the GGA-PBE level of DFT.

Structure (CIF):
```
data_Gd2YBi
_chemical_formula_sum 'Gd2 Y1 Bi1'
_symmetry_space_group_name_H-M 'P 4/m m m'
_symmetry_Int_Tables_number 123
_symmetry_space_group_name_Hall '-P 4 2'
_cell_length_a 4.8657
_cell_length_b 4.8657
_cell_length_c 5.0158
_cell_angle_alpha 90.00
_cell_angle_beta 90.00
_cell_angle_gamma 90.00
loop_
_atom_site_label
_atom_site_type_symbol
_atom_site_fract_x
_atom_site_fract_y
_atom_site_fract_z
_atom_site_occupancy
Gd1 Gd 0.0000 0.5000 0.0000 1
Y1 Y 0.0000 0.0000 0.5000 1
Bi1 Bi 0.5000 0.5000 0.5000 1
```

=====

Record 3
Computed, not measured: a relaxed structure of GdYBi at the GGA-PBE level of DFT.

Structure (CIF):
```
data_GdYBi
_chemical_formula_sum 'Gd1 Y1 Bi1'
_symmetry_space_group_name_H-M 'P 3 m 1'
_symmetry_Int_Tables_number 156
_symmetry_space_group_name_Hall 'P 3 -2"'
_cell_length_a 5.2716
_cell_length_b 5.2716
_cell_length_c 3.9120
_cell_angle_alpha 90.00
_cell_angle_beta 90.00
_cell_angle_gamma 120.00
loop_
_atom_site_label
_atom_site_type_symbol
_atom_site_fract_x
_atom_site_fract_y
_atom_site_fract_z
_atom_site_occupancy
Gd1 Gd 0.0000 0.0000 0.0000 1
Y1 Y 0.6667 0.3333 0.4678 1
Bi1 Bi 0.3333 0.6667 0.7120 1
```

=====

Record 4
Computed, not measured: a relaxed structure of Gd2YBi at the GGA-PBE level of DFT.

Structure (CIF):
```
data_Gd2YBi
_chemical_formula_sum 'Gd6 Y3 Bi3'
_symmetry_space_group_name_H-M 'R -3 m'
_symmetry_Int_Tables_number 166
_symmetry_space_group_name_Hall '-R 3 2"'
_cell_length_a 3.5608
_cell_length_b 3.5608
_cell_length_c 36.5092
_cell_angle_alpha 90.00
_cell_angle_beta 90.00
_cell_angle_gamma 120.00
loop_
_atom_site_label
_atom_site_type_symbol
_atom_site_fract_x
_atom_site_fract_y
_atom_site_fract_z
_atom_site_occupancy
Gd1 Gd 0.0000 0.0000 0.0874 1
Y1 Y 0.0000 0.0000 0.5000 1
Bi1 Bi 0.0000 0.0000 0.0000 1
```

=====

Record 5
Computed, not measured: a relaxed structure of GdY2Bi at the GGA-PBE level of DFT.

Structure (CIF):
```
data_GdY2Bi
_chemical_formula_sum 'Gd1 Y2 Bi1'
_symmetry_space_group_name_H-M 'P 4/m m m'
_symmetry_Int_Tables_number 123
_symmetry_space_group_name_Hall '-P 4 2'
_cell_length_a 4.9718
_cell_length_b 4.9718
_cell_length_c 4.7760
_cell_angle_alpha 90.00
_cell_angle_beta 90.00
_cell_angle_gamma 90.00
loop_
_atom_site_label
_atom_site_type_symbol
_atom_site_fract_x
_atom_site_fract_y
_atom_site_fract_z
_atom_site_occupancy
Gd1 Gd 0.0000 0.0000 0.0000 1
Y1 Y 0.0000 0.5000 0.5000 1
Bi1 Bi 0.5000 0.5000 0.0000 1
```

=====

Record 6
Computed, not measured: a relaxed structure of GdY2Bi at the GGA-PBE level of DFT.

Structure (CIF):
```
data_GdY2Bi
_chemical_formula_sum 'Gd3 Y6 Bi3'
_symmetry_space_group_name_H-M 'R -3 m'
_symmetry_Int_Tables_number 166
_symmetry_space_group_name_Hall '-R 3 2"'
_cell_length_a 3.6517
_cell_length_b 3.6517
_cell_length_c 32.6973
_cell_angle_alpha 90.00
_cell_angle_beta 90.00
_cell_angle_gamma 120.00
loop_
_atom_site_label
_atom_site_type_symbol
_atom_site_fract_x
_atom_site_fract_y
_atom_site_fract_z
_atom_site_occupancy
Gd1 Gd 0.0000 0.0000 0.0000 1
Y1 Y 0.0000 0.0000 0.2458 1
Bi1 Bi 0.0000 0.0000 0.5000 1
```

=====

Record 7
Computed, not measured: a relaxed structure of GdY2Bi at the GGA-PBE level of DFT.

Structure (CIF):
```
data_GdY2Bi
_chemical_formula_sum 'Gd1 Y2 Bi1'
_symmetry_space_group_name_H-M 'P 4/m m m'
_symmetry_Int_Tables_number 123
_symmetry_space_group_name_Hall '-P 4 2'
_cell_length_a 4.1031
_cell_length_b 4.1031
_cell_length_c 7.2604
_cell_angle_alpha 90.00
_cell_angle_beta 90.00
_cell_angle_gamma 90.00
loop_
_atom_site_label
_atom_site_type_symbol
_atom_site_fract_x
_atom_site_fract_y
_atom_site_fract_z
_atom_site_occupancy
Gd1 Gd 0.0000 0.0000 0.0000 1
Y1 Y 0.5000 0.5000 0.2691 1
Bi1 Bi 0.0000 0.0000 0.5000 1
```

=====

Record 8
Computed, not measured: a relaxed structure of GdZnBi at the GGA-PBE level of DFT.

Structure (CIF):
```
data_GdZnBi
_chemical_formula_sum 'Gd2 Zn2 Bi2'
_symmetry_space_group_name_H-M 'I 4 m m'
_symmetry_Int_Tables_number 107
_symmetry_space_group_name_Hall 'I 4 -2'
_cell_length_a 4.2286
_cell_length_b 4.2286
_cell_length_c 9.1376
_cell_angle_alpha 90.00
_cell_angle_beta 90.00
_cell_angle_gamma 90.00
loop_
_atom_site_label
_atom_site_type_symbol
_atom_site_fract_x
_atom_site_fract_y
_atom_site_fract_z
_atom_site_occupancy
Gd1 Gd 0.0000 0.0000 0.0000 1
Zn1 Zn 0.0000 0.0000 0.3305 1
Bi1 Bi 0.0000 0.0000 0.6514 1
```

=====

We obtain DOS(E_F) values of 2.47, 5.94, 3.84, 5.37, 5.06, 4.23, 4.91, 2.59 states/eV/f.u. for the records listed above, in that order.
We obtain E_form values of -0.523, -0.389, -0.306, 0.015, -0.369, -0.210, -0.372, -0.296 eV/atom for the records listed above, in that order.